Entry 1:
# LaPuGa4

Crystalline LaPuGa4 at its relaxed geometry (PBE, Alexandria via LeMat-Bulk).

Lattice parameters (Å, degrees): 5.615 5.615 5.615 60.00 60.00 60.00
Atoms (fractional coordinates):
La1 0.000 0.000 0.000
Pu1 0.250 0.250 0.250
Ga1 0.127 0.624 0.624
Ga2 0.624 0.127 0.624
Ga3 0.624 0.624 0.127
Ga4 0.624 0.624 0.624

Output
**E above lowest polymorph**: 21.1 meV/atom
**Formation energy**: -0.473 eV/atom
**M_tot**: 6.1 μB per formula unit

=====

Entry 2:
# LaPuGa4

Crystalline LaPuGa4 at its relaxed geometry (PBE, Alexandria via LeMat-Bulk).

Lattice parameters (Å, degrees): 4.292 4.292 8.629 90.00 90.00 120.00
Atoms (fractional coordinates):
La1 0.000 0.000 0.000
Pu1 0.000 0.000 0.500
Ga1 0.333 0.667 0.261
Ga2 0.333 0.667 0.739
Ga3 0.667 0.333 0.261
Ga4 0.667 0.333 0.739

Output
**E above lowest polymorph**: 0.0 meV/atom
**Formation energy**: -0.494 eV/atom
**M_tot**: 5.5 μB per formula unit

=====

Entry 3:
# LaPuGa6

Crystalline LaPuGa6 at its relaxed geometry (PBE, Alexandria via LeMat-Bulk).

Lattice parameters (Å, degrees): 4.443 6.267 6.023 90.00 90.00 90.00
Atoms (fractional coordinates):
La1 0.000 0.000 0.000
Pu1 0.500 0.500 0.235
Ga1 0.000 0.260 0.475
Ga2 0.000 0.500 0.884
Ga3 0.000 0.740 0.475
Ga4 0.500 0.000 0.389
Ga5 0.500 0.273 0.755
Ga6 0.500 0.727 0.755

Output
**Formation energy**: -0.416 eV/atom
**M_tot**: 5.4 μB per formula unit

=====

Question: Which of these has the highest M_tot?
Answer: number 1

=====

Question: formation energy of number 2 (LaPuGa4)?
Answer: -0.494 eV/atom

=====

Question: What is the formation energy in the second record?
Answer: -0.494 eV/atom

=====

Question: The lowest formation energy belongs to which entry?
Answer: number 2